Record 1
CuTcSe3 | GGA-PBEsol | optimized geometry

Cell and atoms, written as CIF:
```
data_CuTcSe3
_space_group_name_H-M_alt 'P m -3 m'
_space_group_IT_number 221
_space_group_name_Hall '-P 4 2 3'
_cell_length_a 4.7872
_cell_length_b 4.7872
_cell_length_c 4.7872
_cell_angle_alpha 90.00
_cell_angle_beta 90.00
_cell_angle_gamma 90.00
loop_
_atom_site_label
_atom_site_fract_x
_atom_site_fract_y
_atom_site_fract_z
Cu1 0.0000 0.0000 0.0000
Tc1 0.5000 0.5000 0.5000
Se1 0.0000 0.5000 0.5000
```

- DOS at the Fermi energy: 4.38 states/eV per cell

---

Record 2
CuTcSe4 | GGA-PBEsol | optimized geometry

Cell and atoms, written as CIF:
```
data_CuTcSe4
_space_group_name_H-M_alt 'F -4 3 m'
_space_group_IT_number 216
_space_group_name_Hall 'F -4 2 3'
_cell_length_a 7.7531
_cell_length_b 7.7531
_cell_length_c 7.7531
_cell_angle_alpha 90.00
_cell_angle_beta 90.00
_cell_angle_gamma 90.00
loop_
_atom_site_label
_atom_site_fract_x
_atom_site_fract_y
_atom_site_fract_z
Cu1 0.0000 0.0000 0.0000
Tc1 0.2500 0.2500 0.7500
Se1 0.1250 0.1250 0.3750
```

- DOS at the Fermi energy: 15.29 states/eV per cell

---

Record 3
CuTcSe | GGA-PBEsol | optimized geometry

Cell and atoms, written as CIF:
```
data_CuTcSe
_space_group_name_H-M_alt 'F -4 3 m'
_space_group_IT_number 216
_space_group_name_Hall 'F -4 2 3'
_cell_length_a 5.8406
_cell_length_b 5.8406
_cell_length_c 5.8406
_cell_angle_alpha 90.00
_cell_angle_beta 90.00
_cell_angle_gamma 90.00
loop_
_atom_site_label
_atom_site_fract_x
_atom_site_fract_y
_atom_site_fract_z
Cu1 0.0000 0.0000 0.0000
Tc1 0.2500 0.2500 0.7500
Se1 0.2500 0.2500 0.2500
```

- DOS at the Fermi energy: 13.24 states/eV per cell

---

Record 4
CuTe2Se | GGA-PBEsol | optimized geometry

Cell and atoms, written as CIF:
```
data_CuTe2Se
_space_group_name_H-M_alt 'C m m m'
_space_group_IT_number 65
_space_group_name_Hall '-C 2 2'
_cell_length_a 5.8191
_cell_length_b 8.0679
_cell_length_c 3.8821
_cell_angle_alpha 90.00
_cell_angle_beta 90.00
_cell_angle_gamma 90.00
loop_
_atom_site_label
_atom_site_fract_x
_atom_site_fract_y
_atom_site_fract_z
Cu1 0.0000 0.0000 0.0000
Te1 0.0000 0.2179 0.5000
Se1 0.0000 0.5000 0.0000
```

- DOS at the Fermi energy: 4.24 states/eV per cell

---

Record 5
CuTeSe | GGA-PBEsol | optimized geometry

Cell and atoms, written as CIF:
```
data_CuTeSe
_space_group_name_H-M_alt 'P 21 3'
_space_group_IT_number 198
_space_group_name_Hall 'P 2ac 2ab 3'
_cell_length_a 6.2699
_cell_length_b 6.2699
_cell_length_c 6.2699
_cell_angle_alpha 90.00
_cell_angle_beta 90.00
_cell_angle_gamma 90.00
loop_
_atom_site_label
_atom_site_fract_x
_atom_site_fract_y
_atom_site_fract_z
Cu1 0.0139 0.0139 0.0139
Te1 0.1249 0.6249 0.8751
Se1 0.1151 0.8849 0.3849
```

- ΔE to the lowest computed polymorph: 0 meV per atom
- DOS at the Fermi energy: 8.39 states/eV per cell

---

Record 6
CuTeSe | GGA-PBEsol | optimized geometry

Cell and atoms, written as CIF:
```
data_CuTeSe
_space_group_name_H-M_alt 'P 3 m 1'
_space_group_IT_number 156
_space_group_name_Hall 'P 3 -2"'
_cell_length_a 3.7823
_cell_length_b 3.7823
_cell_length_c 4.8638
_cell_angle_alpha 90.00
_cell_angle_beta 90.00
_cell_angle_gamma 120.00
loop_
_atom_site_label
_atom_site_fract_x
_atom_site_fract_y
_atom_site_fract_z
Cu1 0.0000 0.0000 0.0000
Te1 0.6667 0.3333 0.3038
Se1 0.3333 0.6667 0.7501
```

- ΔE to the lowest computed polymorph: 7 meV per atom
- DOS at the Fermi energy: 1.40 states/eV per cell

---

Record 7
CuTe2Se | GGA-PBEsol | optimized geometry

Cell and atoms, written as CIF:
```
data_CuTe2Se
_space_group_name_H-M_alt 'F -4 3 m'
_space_group_IT_number 216
_space_group_name_Hall 'F -4 2 3'
_cell_length_a 7.0029
_cell_length_b 7.0029
_cell_length_c 7.0029
_cell_angle_alpha 90.00
_cell_angle_beta 90.00
_cell_angle_gamma 90.00
loop_
_atom_site_label
_atom_site_fract_x
_atom_site_fract_y
_atom_site_fract_z
Cu1 0.0000 0.0000 0.0000
Te1 0.0000 0.0000 0.5000
Te2 0.2500 0.2500 0.2500
Se1 0.2500 0.2500 0.7500
```

- DOS at the Fermi energy: 11.29 states/eV per cell

---

Record 8
VCu3Te3Se | GGA-PBEsol | optimized geometry

Cell and atoms, written as CIF:
```
data_VCu3Te3Se
_space_group_name_H-M_alt 'R 3 m'
_space_group_IT_number 160
_space_group_name_Hall 'R 3 -2"'
_cell_length_a 8.0224
_cell_length_b 8.0224
_cell_length_c 10.0817
_cell_angle_alpha 90.00
_cell_angle_beta 90.00
_cell_angle_gamma 120.00
loop_
_atom_site_label
_atom_site_fract_x
_atom_site_fract_y
_atom_site_fract_z
V1 0.0000 0.0000 0.0000
Cu1 0.1693 0.3386 0.8331
Te1 0.0148 0.5074 0.2488
Se1 0.0000 0.0000 0.2330
```

---

Record 9
ThTlCuSe3 | GGA-PBEsol | optimized geometry

Cell and atoms, written as CIF:
```
data_ThTlCuSe3
_space_group_name_H-M_alt 'C m c m'
_space_group_IT_number 63
_space_group_name_Hall '-C 2c 2'
_cell_length_a 4.1206
_cell_length_b 14.2414
_cell_length_c 10.7544
_cell_angle_alpha 90.00
_cell_angle_beta 90.00
_cell_angle_gamma 90.00
loop_
_atom_site_label
_atom_site_fract_x
_atom_site_fract_y
_atom_site_fract_z
Th1 0.0000 0.0000 0.0000
Tl1 0.0000 0.2491 0.2500
Cu1 0.0000 0.4696 0.7500
Se1 0.0000 0.0706 0.7500
Se2 0.0000 0.3673 0.5686
```

- DOS at the Fermi energy: 0.00 states/eV per cell

---

Record 10
Tl2CuSe | GGA-PBEsol | optimized geometry

Cell and atoms, written as CIF:
```
data_Tl2CuSe
_space_group_name_H-M_alt 'P 4/m m m'
_space_group_IT_number 123
_space_group_name_Hall '-P 4 2'
_cell_length_a 4.4503
_cell_length_b 4.4503
_cell_length_c 4.5887
_cell_angle_alpha 90.00
_cell_angle_beta 90.00
_cell_angle_gamma 90.00
loop_
_atom_site_label
_atom_site_fract_x
_atom_site_fract_y
_atom_site_fract_z
Tl1 0.0000 0.5000 0.0000
Cu1 0.0000 0.0000 0.5000
Se1 0.5000 0.5000 0.5000
```

- DOS at the Fermi energy: 0.89 states/eV per cell

---

Record 11
TlCu2Se | GGA-PBEsol | optimized geometry

Cell and atoms, written as CIF:
```
data_TlCu2Se
_space_group_name_H-M_alt 'I m m m'
_space_group_IT_number 71
_space_group_name_Hall '-I 2 2'
_cell_length_a 3.9125
_cell_length_b 5.6020
_cell_length_c 6.7778
_cell_angle_alpha 90.00
_cell_angle_beta 90.00
_cell_angle_gamma 90.00
loop_
_atom_site_label
_atom_site_fract_x
_atom_site_fract_y
_atom_site_fract_z
Tl1 0.0000 0.0000 0.0000
Cu1 0.0000 0.5000 0.2148
Se1 0.0000 0.0000 0.5000
```

- ΔE to the lowest computed polymorph: 0 meV per atom
- DOS at the Fermi energy: 1.92 states/eV per cell

---

Record 12
TlCu2Se2 | GGA-PBEsol | optimized geometry

Cell and atoms, written as CIF:
```
data_TlCu2Se2
_space_group_name_H-M_alt 'I 4/m m m'
_space_group_IT_number 139
_space_group_name_Hall '-I 4 2'
_cell_length_a 3.7738
_cell_length_b 3.7738
_cell_length_c 14.0909
_cell_angle_alpha 90.00
_cell_angle_beta 90.00
_cell_angle_gamma 90.00
loop_
_atom_site_label
_atom_site_fract_x
_atom_site_fract_y
_atom_site_fract_z
Tl1 0.0000 0.0000 0.0000
Cu1 0.0000 0.5000 0.2500
Se1 0.0000 0.0000 0.3594
```

- DOS at the Fermi energy: 4.10 states/eV per cell

---

Values of total magnetization, in order: 0.0 3.5 2.6 0.0 0.0 0.0 0.0 0.0 0.0 0.0 0.0 0.0, all in μB per formula unit.
Values of E_form (uncorrected), in order: 0.68 1.16 0.93 0.06 -0.06 -0.05 0.46 -0.26 -1.03 0.20 0.24 -0.24, all in eV/atom.